TbSm2Tm5In | PBE-GGA | relaxed

abc: 5.2949 20.2270 10.3752
angles: 90.00 90.00 90.00
Closest atoms and distances in Å follow each position.
Space group Cmcm (No. 63)
Inequivalent atoms, fractional coordinates:
Tb (0.0000, 0.2098, 0.2500) [4 per cell]  7 Tm 3.35-3.53, 2 In 3.51, 2 Sm 3.53
Sm (0.0000, 0.1165, 0.5378) [8 per cell]  9 Tm 3.37-3.69, 1 Tb 3.53
Tm (0.0000, 0.0095, 0.2500) [4 per cell]  2 In 3.17, 2 Sm 3.37
Tm (0.0000, 0.2883, 0.5523) [8 per cell]  1 In 3.11, 2 Tm 3.25, 2 Tb 3.35, 3 Sm 3.40-3.48
Tm (0.0000, 0.3841, 0.2500) [4 per cell]  4 Sm 3.44, 6 Tm 3.50-3.69, 1 Tb 3.53
Tm (0.0000, 0.5000, 0.0000) [4 per cell]  2 In 3.24, 2 Tm 3.50, 4 Sm 3.57
In (0.0000, 0.4039, 0.7500) [4 per cell]  6 Tm 3.11-3.24

Summary:
DFT formation energy = -0.068 eV per formula unit
Magnetization = 0.00 μB/atom
E_tot = -156.93 eV per cell